Entry 1:
DFT (GGA-PBE) results for crystalline Nd7YSc2 at its relaxed geometry.

Cell: 9.011 15.518 5.615 Å, 90.00 90.00 90.00°
Space group Cmmm (No. 65)
Asymmetric unit:
1 Nd 0.000 0.000 0.000 (multiplicity 2)
2 Nd 0.000 0.252 0.500 (multiplicity 4)
3 Nd 0.183 0.379 0.000 (multiplicity 8)
4 Y 0.000 0.500 0.500 (multiplicity 2)
5 Sc 0.000 0.203 0.000 (multiplicity 4)

Computed properties:
- E_tot (hartree per atom) = -0.17113
- ΔH_f (0 K) (eV per atom) = 0.594
- volume (Å³/atom) = 39.26



Entry 2:
DFT (GGA-PBE) results for crystalline KTi3Sb at its relaxed geometry.

Cell: 5.242 5.242 5.242 Å, 90.00 90.00 90.00°
Space group Pm-3m (No. 221)
Asymmetric unit:
1 K 0.000 0.000 0.000 (multiplicity 1)
2 Ti 0.000 0.500 0.500 (multiplicity 3)
3 Sb 0.500 0.500 0.500 (multiplicity 1)

Computed properties:
- E_tot (hartree per atom) = -0.17712
- energy above the lowest structure with this stoichiometry (meV/atom) = 0
- volume (Å³/atom) = 28.80



Entry 3:
DFT (GGA-PBE) results for crystalline TiTl3Br6 at its relaxed geometry.

Cell: 7.593 8.360 13.068 Å, 90.00 122.38 90.00°
Space group P2_1/c (No. 14)
Asymmetric unit:
1 Ti 0.000 0.000 0.000 (multiplicity 2)
2 Tl 0.295 0.080 0.762 (multiplicity 4)
3 Tl 0.500 0.000 0.500 (multiplicity 2)
4 Br 0.097 0.050 0.221 (multiplicity 4)
5 Br 0.220 0.737 0.069 (multiplicity 4)
6 Br 0.327 0.162 0.043 (multiplicity 4)

Computed properties:
- E_tot (hartree per atom) = -0.12815
- energy above the lowest structure with this stoichiometry (meV/atom) = 0
- volume (Å³/atom) = 35.02